! SrLaHg14 GGA-PBE relaxed; values from VASP
&SYSTEM
  ibrav = 0, nat = 16, ntyp = 3
/
ATOMIC_SPECIES
Sr 87.62 Sr.upf
La 138.91 La.upf
Hg 200.59 Hg.upf
ATOMIC_POSITIONS angstrom
Sr 0.000 0.000 0.000
La 3.442 3.442 0.000
Hg 0.000 0.000 4.511
Hg 0.000 3.442 0.000
Hg 0.000 3.442 4.511
Hg 1.728 1.728 2.346
Hg 1.728 1.728 6.675
Hg 1.728 5.155 2.346
Hg 1.728 5.155 6.675
Hg 3.442 0.000 0.000
Hg 3.442 0.000 4.511
Hg 3.442 3.442 4.511
Hg 5.155 1.728 2.346
Hg 5.155 1.728 6.675
Hg 5.155 5.155 2.346
Hg 5.155 5.155 6.675
CELL_PARAMETERS angstrom
6.883 0.000 0.000
0.000 6.883 0.000
0.000 0.000 9.021
! Crystal system: tetragonal
! V (Å³/cell): 427.4
! Calculated density (g/cm³): 11.79
! Total energy (eV per cell): -14.29

***

! PrTlH6Rh2 GGA-PBE relaxed; values from VASP
&SYSTEM
  ibrav = 0, nat = 20, ntyp = 4
/
ATOMIC_SPECIES
Pr 140.91 Pr.upf
Tl 204.38 Tl.upf
H 1.01 H.upf
Rh 102.91 Rh.upf
ATOMIC_POSITIONS angstrom
Pr 3.390 4.110 3.582
Pr 3.672 -4.110 1.194
Tl 3.672 1.412 1.194
Tl 3.390 -1.412 3.582
H 2.746 3.955 0.938
H 2.020 2.246 2.701
H 0.981 0.027 2.382
H 0.699 -0.027 4.769
H 4.598 3.955 1.450
H 2.302 -2.246 0.313
H 4.761 2.246 4.462
H 2.465 -3.955 3.326
H 6.363 0.027 0.006
H 6.081 -0.027 2.394
H 5.042 -2.246 2.074
H 4.316 -3.955 3.837
Rh 1.718 0.983 3.672
Rh 2.000 -0.983 1.284
Rh 5.062 0.983 3.491
Rh 5.344 -0.983 1.103
CELL_PARAMETERS angstrom
3.813 -5.993 0.000
3.813 5.993 0.000
-0.564 0.000 4.776
! Crystal system: monoclinic
! V (Å³/cell): 218.2
! Calculated density (g/cm³): 8.48
! Total energy (eV per cell): -88.98

***

Question: What is the formula in the first record?
Answer: SrLaHg14

***

Copy entry 1 word for word.
! SrLaHg14 GGA-PBE relaxed; values from VASP
&SYSTEM
  ibrav = 0, nat = 16, ntyp = 3
/
ATOMIC_SPECIES
Sr 87.62 Sr.upf
La 138.91 La.upf
Hg 200.59 Hg.upf
ATOMIC_POSITIONS angstrom
Sr 0.000 0.000 0.000
La 3.442 3.442 0.000
Hg 0.000 0.000 4.511
Hg 0.000 3.442 0.000
Hg 0.000 3.442 4.511
Hg 1.728 1.728 2.346
Hg 1.728 1.728 6.675
Hg 1.728 5.155 2.346
Hg 1.728 5.155 6.675
Hg 3.442 0.000 0.000
Hg 3.442 0.000 4.511
Hg 3.442 3.442 4.511
Hg 5.155 1.728 2.346
Hg 5.155 1.728 6.675
Hg 5.155 5.155 2.346
Hg 5.155 5.155 6.675
CELL_PARAMETERS angstrom
6.883 0.000 0.000
0.000 6.883 0.000
0.000 0.000 9.021
! Crystal system: tetragonal
! V (Å³/cell): 427.4
! Calculated density (g/cm³): 11.79
! Total energy (eV per cell): -14.29